No. 1
This record from the Alexandria database describes Al5ZnNi6 after structural relaxation. The functional is PBE. Values from VASP.

```
&SYSTEM
  ibrav = 0, nat = 12, ntyp = 3
/
ATOMIC_SPECIES
Al 26.98 Al.upf
Zn 65.41 Zn.upf
Ni 58.69 Ni.upf
CELL_PARAMETERS angstrom
2.0257 -6.0835 0.0000
2.0257 6.0835 0.0000
0.0000 0.0000 5.8877
ATOMIC_POSITIONS crystal
Al 0.0000 0.0000 0.0000
Al 0.3329 0.6671 0.0000
Al 0.3351 0.6649 0.5000
Al 0.6649 0.3351 0.5000
Al 0.6671 0.3329 0.0000
Zn 0.0000 0.0000 0.5000
Ni 0.1686 0.8314 0.2487
Ni 0.1686 0.8314 0.7513
Ni 0.5000 0.5000 0.2430
Ni 0.5000 0.5000 0.7570
Ni 0.8314 0.1686 0.2487
Ni 0.8314 0.1686 0.7513
```

## Properties
Its calculated formation energy is -0.59 eV/atom. The total magnetic moment is 0.0 μB/cell.

No. 2
This record from the Alexandria database describes AlZnNi2 after structural relaxation. The functional is PBE. Values from VASP.

```
&SYSTEM
  ibrav = 0, nat = 4, ntyp = 3
/
ATOMIC_SPECIES
Al 26.98 Al.upf
Zn 65.41 Zn.upf
Ni 58.69 Ni.upf
CELL_PARAMETERS angstrom
4.0488 -1.3721 0.0000
4.0488 1.3721 0.0000
-1.0464 0.0000 4.4746
ATOMIC_POSITIONS crystal
Al 0.0000 0.0000 0.0000
Zn 0.5000 0.5000 0.5000
Ni 0.2542 0.2542 0.7542
Ni 0.7458 0.7458 0.2458
```

## Properties
Its calculated formation energy is -0.28 eV/atom. The total magnetic moment is 0.0 μB/cell.

No. 3
This record from the Alexandria database describes Al8Zn2Ni after structural relaxation. The functional is PBE. Values from VASP.

```
&SYSTEM
  ibrav = 0, nat = 11, ntyp = 3
/
ATOMIC_SPECIES
Al 26.98 Al.upf
Zn 65.41 Zn.upf
Ni 58.69 Ni.upf
CELL_PARAMETERS angstrom
-1.9523 3.9102 5.8949
1.9523 -3.9102 5.8949
1.9523 3.9102 -5.8949
ATOMIC_POSITIONS crystal
Al 0.0866 0.3385 0.7481
Al 0.1743 0.1743 0.0000
Al 0.2301 0.0000 0.2301
Al 0.4095 0.6615 0.7481
Al 0.5905 0.3385 0.2519
Al 0.7699 0.0000 0.7699
Al 0.8257 0.8257 0.0000
Al 0.9134 0.6615 0.2519
Zn 0.3573 0.8573 0.5000
Zn 0.6427 0.1427 0.5000
Ni 0.0000 0.5000 0.5000
```

## Properties
Its calculated formation energy is -0.02 eV/atom. The total magnetic moment is 0.0 μB/cell.

No. 4
This record from the Alexandria database describes AlZnNi after structural relaxation. The functional is PBE. Values from VASP.

```
&SYSTEM
  ibrav = 0, nat = 6, ntyp = 3
/
ATOMIC_SPECIES
Al 26.98 Al.upf
Zn 65.41 Zn.upf
Ni 58.69 Ni.upf
CELL_PARAMETERS angstrom
2.0084 1.1596 6.5450
-2.0084 1.1596 6.5450
0.0000 -2.3191 6.5450
ATOMIC_POSITIONS crystal
Al 0.1244 0.1244 0.1244
Al 0.8756 0.8756 0.8756
Zn 0.3744 0.3744 0.3744
Zn 0.6256 0.6256 0.6256
Ni 0.2478 0.2478 0.2478
Ni 0.7522 0.7522 0.7522
```

## Properties
Its calculated formation energy is -0.22 eV/atom. The total magnetic moment is 0.0 μB/cell.